A relaxed LuAlIrPt crystal, computed with PBE-GGA.

Unit cell a=4.570 b=4.570 c=4.570 alpha=60.00 beta=60.00 gamma=60.00
Element x y z (fractional)
Pt 0.750 0.750 0.750
Lu 0.000 0.000 0.000
Al 0.500 0.500 0.500
Ir 0.250 0.250 0.250

Output
Fermi-level density of states: 1.92 states/eV per cell
E_form: -0.939 eV/atom
SG: F-43m